# 1
First-principles (PBE-GGA) data for an optimized crystal structure of GdTm2Mg3In2Hg, as listed in OQMD via LeMat-Bulk.

abc: 4.6061 7.4995 7.4995
angles: 120.56 90.00 90.00
Last column: nearest neighbours and their distance in Å.
Atoms (fractional coordinates):
Tm 0.0000 0.5789 0.0013  1 Hg 3.14, 4 In 3.20, 2 Mg 3.44
Gd 0.0000 0.4233 0.4233  1 Hg 3.19, 4 In 3.23, 2 Mg 3.40
Hg 0.0000 0.9947 0.9947  6 Mg 2.89-2.93, 2 Tm 3.14, 1 Gd 3.19
In 0.5000 0.6700 0.3329  3 Mg 2.90-2.92, 4 Tm 3.20, 2 Gd 3.23
Mg 0.5000 0.7604 0.7604  2 Hg 2.89, 2 In 2.92, 2 Mg 3.09
Mg 0.5000 0.2383 0.0002  2 In 2.90-2.91, 2 Hg 2.93, 2 Mg 3.09-3.10
Tm 0.0000 0.0013 0.5789  1 Hg 3.14, 4 In 3.20, 2 Mg 3.44
In 0.5000 0.3329 0.6700  3 Mg 2.90-2.92, 4 Tm 3.20, 2 Gd 3.23
Mg 0.5000 0.0002 0.2383  2 In 2.90-2.91, 2 Hg 2.93, 2 Mg 3.09-3.10

Its calculated total energy is -27.62 eV/cell. Its space-group type is No. 38.


# 2
First-principles (PBE-GGA) data for an optimized crystal structure of GdInHgO3, as listed in OQMD via LeMat-Bulk.

abc: 7.3221 7.3221 8.3481
angles: 90.00 90.00 27.67
Last column: nearest neighbours and their distance in Å.
Atoms (fractional coordinates):
Hg 0.6921 0.6921 0.7500  2 O 2.30
O 0.6040 0.6040 0.5187  2 Gd 2.30, 1 Hg 2.30, 1 In 2.34
O 0.9407 0.9407 0.7500  2 In 2.19, 2 Gd 2.25
O 0.0593 0.0593 0.2500  2 In 2.19, 2 Gd 2.25
O 0.3960 0.3960 0.4813  2 Gd 2.30, 1 Hg 2.30, 1 In 2.34
In 0.3487 0.3487 0.7500  4 O 2.19-2.34
Gd 0.0000 0.0000 0.0000  6 O 2.25-2.30
O 0.6040 0.6040 0.9813  2 Gd 2.30, 1 Hg 2.30, 1 In 2.34
In 0.6513 0.6513 0.2500  4 O 2.19-2.34
Hg 0.3079 0.3079 0.2500  2 O 2.30
Gd 0.0000 0.0000 0.5000  6 O 2.25-2.30
O 0.3960 0.3960 0.0187  2 Gd 2.30, 1 Hg 2.30, 1 In 2.34

Its calculated total energy is -67.16 eV/cell. Its space-group type is No. 63.


# 3
First-principles (PBE-GGA) data for an optimized crystal structure of GdHgIr, as listed in OQMD via LeMat-Bulk.

abc: 4.7004 4.7004 4.7004
angles: 60.00 60.00 60.00
Last column: nearest neighbours and their distance in Å.
Atoms (fractional coordinates):
Gd 0.7500 0.7500 0.7500  4 Ir 2.88
Ir 0.0000 0.0000 0.0000  4 Gd 2.88, 4 Hg 2.88
Hg 0.2500 0.2500 0.2500  4 Ir 2.88

The formation energy comes out at -0.3729 eV/atom. Its space-group type is No. 216.


# 4
First-principles (PBE-GGA) data for an optimized crystal structure of GdHgIr, as listed in OQMD via LeMat-Bulk.

abc: 4.7744 4.7744 4.7744
angles: 60.00 60.00 60.00
Last column: nearest neighbours and their distance in Å.
Atoms (fractional coordinates):
Hg 0.2500 0.2500 0.2500  4 Gd 2.92
Gd 0.0000 0.0000 0.0000  4 Hg 2.92, 4 Ir 2.92
Ir 0.7500 0.7500 0.7500  4 Gd 2.92

The formation energy comes out at 0.0774 eV/atom. Its space-group type is No. 216.


# 5
First-principles (PBE-GGA) data for an optimized crystal structure of Gd2HgIrO6, as listed in OQMD via LeMat-Bulk.

abc: 5.4509 5.9916 9.5673
angles: 90.00 123.83 90.00
Last column: nearest neighbours and their distance in Å.
Atoms (fractional coordinates):
O 0.0720 0.9245 0.7254  1 Ir 2.02, 1 Gd 2.25
O 0.0720 0.5755 0.2254  1 Ir 2.02, 1 Gd 2.25
O 0.6313 0.1662 0.4394  1 Ir 2.02
O 0.3687 0.6662 0.0606  1 Ir 2.02
Ir 0.0000 0.0000 0.5000  6 O 2.02
O 0.9280 0.0755 0.2746  1 Ir 2.02, 1 Gd 2.25
Gd 0.2825 0.9214 0.2532  4 O 2.25-2.31
O 0.9280 0.4245 0.7746  1 Ir 2.02, 1 Gd 2.25
Hg 0.5000 0.0000 0.0000  6 O 2.30-2.40
Hg 0.5000 0.5000 0.5000  6 O 2.30-2.40
O 0.6313 0.3338 0.9394  1 Ir 2.02
O 0.7669 0.7128 0.4132  1 Ir 2.02
Gd 0.7175 0.4214 0.2468  4 O 2.25-2.31
O 0.2331 0.2872 0.5868  1 Ir 2.02
Ir 0.0000 0.5000 0.0000  6 O 2.02
Gd 0.2825 0.5786 0.7532  4 O 2.25-2.31
O 0.7669 0.7872 0.9132  1 Ir 2.02
O 0.2331 0.2128 0.0868  1 Ir 2.02
O 0.3687 0.8338 0.5606  1 Ir 2.02
Gd 0.7175 0.0786 0.7468  4 O 2.25-2.31

Its calculated total energy is -135.32 eV/cell. Its space-group type is No. 14.


# 6
First-principles (PBE-GGA) data for an optimized crystal structure of KGd2Hg3, as listed in OQMD via LeMat-Bulk.

abc: 7.4489 7.4489 4.3840
angles: 90.00 90.00 120.02
Last column: nearest neighbours and their distance in Å.
Atoms (fractional coordinates):
Hg 0.0000 0.5000 0.5000  4 Gd 3.07
Gd 0.3334 0.6666 0.0000  6 Hg 3.07
Hg 0.5000 0.0000 0.5000  4 Gd 3.07
Gd 0.6666 0.3334 0.0000  6 Hg 3.07
K 0.0000 0.0000 0.0000  6 Gd 4.30, 12 Hg 4.32, 2 K 4.38
Hg 0.5000 0.5000 0.5000  4 Gd 3.07

Its calculated total energy is -12.29 eV/cell. Its space-group type is No. 191.


# 7
First-principles (PBE-GGA) data for an optimized crystal structure of KGdHgO3, as listed in OQMD via LeMat-Bulk.

abc: 6.9752 6.9752 9.0177
angles: 90.00 90.00 30.22
Last column: nearest neighbours and their distance in Å.
Atoms (fractional coordinates):
Gd 0.0000 0.0000 0.5000  6 O 2.29-2.36
O 0.6111 0.6111 0.5237  1 Hg 2.04
O 0.6111 0.6111 0.9763  1 Hg 2.04
O 0.0291 0.0291 0.2500  2 Gd 2.29
Hg 0.3866 0.3866 0.2500  2 O 2.04
Hg 0.6134 0.6134 0.7500  2 O 2.04
K 0.3243 0.3243 0.7500  4 O 2.62-2.68
O 0.3889 0.3889 0.4763  1 Hg 2.04
O 0.3889 0.3889 0.0237  1 Hg 2.04
O 0.9709 0.9709 0.7500  2 Gd 2.29
Gd 0.0000 0.0000 0.0000  6 O 2.29-2.36
K 0.6757 0.6757 0.2500  4 O 2.62-2.68

Its calculated total energy is -64.19 eV/cell. Its space-group type is No. 63.


# 8
First-principles (PBE-GGA) data for an optimized crystal structure of KGdHgS3, as listed in OQMD via LeMat-Bulk.

abc: 4.1516 12.1559 12.3275
angles: 90.00 90.00 90.00
Last column: nearest neighbours and their distance in Å.
Atoms (fractional coordinates):
S 0.2500 0.9154 0.5704  1 Hg 2.52
S 0.2500 0.7337 0.3373  2 Hg 2.62, 1 Gd 2.73
K 0.7500 0.6461 0.5013  5 S 3.09-3.26
Hg 0.2500 0.7622 0.7082  4 S 2.52-2.62
Hg 0.7500 0.7378 0.2082  4 S 2.52-2.62
K 0.7500 0.1461 0.9987  5 S 3.09-3.26
Hg 0.7500 0.2378 0.2918  4 S 2.52-2.62
S 0.7500 0.7663 0.8373  2 Hg 2.62, 1 Gd 2.73
S 0.7500 0.2663 0.6627  2 Hg 2.62, 1 Gd 2.73
S 0.7500 0.4496 0.3207  1 Hg 2.60, 2 Gd 2.84
K 0.2500 0.3539 0.4987  5 S 3.09-3.26
Gd 0.7500 0.0422 0.6641  6 S 2.73-2.94
K 0.2500 0.8539 0.0013  5 S 3.09-3.26
Gd 0.2500 0.9578 0.3359  6 S 2.73-2.94
Gd 0.7500 0.5422 0.8359  6 S 2.73-2.94
S 0.2500 0.5504 0.6793  1 Hg 2.60, 2 Gd 2.84
Gd 0.2500 0.4578 0.1641  6 S 2.73-2.94
S 0.2500 0.0504 0.8207  1 Hg 2.60, 2 Gd 2.84
S 0.2500 0.4154 0.9296  1 Hg 2.52
S 0.2500 0.2337 0.1627  2 Hg 2.62, 1 Gd 2.73
Hg 0.2500 0.2622 0.7918  4 S 2.52-2.62
S 0.7500 0.9496 0.1793  1 Hg 2.60, 2 Gd 2.84
S 0.7500 0.5846 0.0704  1 Hg 2.52
S 0.7500 0.0846 0.4296  1 Hg 2.52

Its calculated total energy is -102.63 eV/cell. Its space-group type is No. 62.


# 9
First-principles (PBE-GGA) data for an optimized crystal structure of KGdHgSe3, as listed in OQMD via LeMat-Bulk.

abc: 8.6236 4.2881 10.5310
angles: 90.00 107.42 90.00
Last column: nearest neighbours and their distance in Å.
Atoms (fractional coordinates):
Se 0.4188 0.7500 0.6373  1 Hg 2.63
K 0.7444 0.2500 0.7688  6 Se 3.33-3.69
Se 0.7494 0.7500 0.0546  3 Hg 2.73-2.94
Se 0.5812 0.2500 0.3627  1 Hg 2.63
K 0.2556 0.7500 0.2312  6 Se 3.33-3.69
Gd 0.8188 0.7500 0.3654  6 Se 2.83-3.15
Se 0.9582 0.7500 0.6457  3 Gd 2.83-2.91
Hg 0.5898 0.2500 0.1156  4 Se 2.63-2.94
Se 0.0418 0.2500 0.3543  3 Gd 2.83-2.91
Hg 0.4102 0.7500 0.8844  4 Se 2.63-2.94
Se 0.2506 0.2500 0.9454  3 Hg 2.73-2.94
Gd 0.1812 0.2500 0.6346  6 Se 2.83-3.15

Its calculated total energy is -47.35 eV/cell. Its space-group type is No. 11.


# 10
First-principles (PBE-GGA) data for an optimized crystal structure of KGdHgSe3, as listed in OQMD via LeMat-Bulk.

abc: 9.5025 9.5025 9.2698
angles: 102.76 102.76 25.74
Last column: nearest neighbours and their distance in Å.
Atoms (fractional coordinates):
Se 0.0000 0.0000 0.0000  4 Hg 2.92, 2 Gd 3.12
K 0.1404 0.1404 0.5701  7 Se 3.30-3.46
Hg 0.5192 0.5192 0.2229  4 Se 2.67-2.92
Se 0.3309 0.3309 0.1320  3 Gd 2.85-2.89
Gd 0.8269 0.8269 0.9174  6 Se 2.85-3.12
Se 0.6716 0.6716 0.2947  1 Hg 2.75, 2 Gd 2.89
Hg 0.4808 0.4808 0.7771  4 Se 2.67-2.92
Se 0.5000 0.5000 0.5000  2 Hg 2.67
Gd 0.1731 0.1731 0.0826  6 Se 2.85-3.12
K 0.8596 0.8596 0.4299  7 Se 3.30-3.46
Se 0.3284 0.3284 0.7053  1 Hg 2.75, 2 Gd 2.89
Se 0.6691 0.6691 0.8680  3 Gd 2.85-2.89

Its calculated total energy is -46.69 eV/cell. Its space-group type is No. 12.


# 11
First-principles (PBE-GGA) data for an optimized crystal structure of KGdHgTe3, as listed in OQMD via LeMat-Bulk.

abc: 8.3177 8.3177 11.8722
angles: 90.00 90.00 31.49
Last column: nearest neighbours and their distance in Å.
Atoms (fractional coordinates):
Te 0.6328 0.6328 0.5483  1 Hg 2.82, 2 Gd 3.15
K 0.2438 0.2438 0.7500  8 Te 3.66-4.06, 2 Hg 3.97
Te 0.9235 0.9235 0.7500  2 Hg 2.92, 2 Gd 3.21
Te 0.6328 0.6328 0.9517  1 Hg 2.82, 2 Gd 3.15
Te 0.3672 0.3672 0.4517  1 Hg 2.82, 2 Gd 3.15
Hg 0.5397 0.5397 0.7500  4 Te 2.82-2.92
Te 0.0765 0.0765 0.2500  2 Hg 2.92, 2 Gd 3.21
K 0.7562 0.7562 0.2500  8 Te 3.66-4.06, 2 Hg 3.97
Gd 0.0000 0.0000 0.5000  6 Te 3.15-3.21
Hg 0.4603 0.4603 0.2500  4 Te 2.82-2.92
Gd 0.0000 0.0000 0.0000  6 Te 3.15-3.21
Te 0.3672 0.3672 0.0483  1 Hg 2.82, 2 Gd 3.15

Its energy above the lowest structure with this stoichiometry is 0.0001 eV per atom. Its space-group type is No. 63.


# 12
First-principles (PBE-GGA) data for an optimized crystal structure of KGdHgTe3, as listed in OQMD via LeMat-Bulk.

abc: 11.8663 4.5099 16.0941
angles: 90.00 90.00 90.00
Last column: nearest neighbours and their distance in Å.
Atoms (fractional coordinates):
Gd 0.4867 0.2500 0.7473  6 Te 3.14-3.23
Te 0.0617 0.2500 0.1157  1 Hg 2.82, 2 Gd 3.15
Hg 0.2586 0.2500 0.2140  4 Te 2.82-2.91
Te 0.7381 0.2500 0.6716  2 Hg 2.91, 2 Gd 3.22-3.23
K 0.7667 0.7500 0.4894  7 Te 3.70-3.86, 2 Hg 3.98
K 0.2333 0.2500 0.5106  7 Te 3.70-3.86, 2 Hg 3.98
Gd 0.0133 0.7500 0.2473  6 Te 3.14-3.23
Gd 0.5133 0.7500 0.2527  6 Te 3.14-3.23
Te 0.9383 0.7500 0.8843  1 Hg 2.82, 2 Gd 3.15
K 0.7333 0.2500 0.9894  7 Te 3.70-3.86, 2 Hg 3.98
Te 0.0380 0.7500 0.6218  1 Hg 2.83, 2 Gd 3.14
K 0.2667 0.7500 0.0106  7 Te 3.70-3.86, 2 Hg 3.98
Hg 0.2414 0.7500 0.7140  4 Te 2.82-2.91
Te 0.9620 0.2500 0.3782  1 Hg 2.83, 2 Gd 3.14
Te 0.7619 0.7500 0.1716  2 Hg 2.91, 2 Gd 3.22-3.23
Te 0.5379 0.7500 0.8782  1 Hg 2.83, 2 Gd 3.14
Te 0.4383 0.7500 0.6157  1 Hg 2.82, 2 Gd 3.15
Te 0.2381 0.2500 0.8284  2 Hg 2.91, 2 Gd 3.22-3.23
Te 0.2619 0.7500 0.3284  2 Hg 2.91, 2 Gd 3.22-3.23
Te 0.4621 0.2500 0.1218  1 Hg 2.83, 2 Gd 3.14
Te 0.5617 0.2500 0.3843  1 Hg 2.82, 2 Gd 3.15
Hg 0.7414 0.7500 0.7860  4 Te 2.82-2.91
Hg 0.7586 0.2500 0.2860  4 Te 2.82-2.91
Gd 0.9867 0.2500 0.7527  6 Te 3.14-3.23

Its energy above the lowest structure with this stoichiometry is 0.0000 eV per atom. Its space-group type is No. 62.